A:
10
Lattice="2.2563 -12.6423 0.0000 2.2563 12.6423 0.0000 0.0000 0.0000 4.0508" Properties=species:S:1:pos:R:3 comment="PBE La2Si3, relaxed" dos_ef_per_ev_cell=7.24 pbc="T T T"
La 2.2563 10.9149 3.0381
La 2.2563 7.5477 1.0127
La 2.2563 -7.5477 3.0381
La 2.2563 -10.9149 1.0127
Si 2.2563 4.3462 1.0127
Si 2.2563 2.9748 3.0381
Si 2.2563 0.6025 3.0381
Si 2.2563 -0.6025 1.0127
Si 2.2563 -2.9748 1.0127
Si 2.2563 -4.3462 3.0381

***

B:
5
Lattice="5.0498 0.0000 0.0000 -2.5249 4.3732 0.0000 0.0000 0.0000 6.2267" Properties=species:S:1:pos:R:3 comment="PBE La2Si3, relaxed" dos_ef_per_ev_cell=3.73 pbc="T T T"
La 0.0000 2.9155 1.5741
La 2.5249 1.4577 4.6525
Si 0.0000 0.0000 3.1133
Si 0.0000 2.9155 4.6884
Si 2.5249 1.4577 1.5383

***

Result of the stability comparison: B is the least stable of them.

***

A:
5
Lattice="5.4311 0.0000 0.0000 0.0000 5.4311 0.0000 0.0000 0.0000 5.4311" Properties=species:S:1:pos:R:3 comment="PBE LaSi4, relaxed" dos_ef_per_ev_cell=6.58 pbc="T T T"
La 0.0000 0.0000 0.0000
Si 0.0000 0.0000 2.7155
Si 0.0000 2.7155 0.0000
Si 2.7155 0.0000 0.0000
Si 2.7155 2.7155 2.7155

***

B:
5
Lattice="-2.2360 2.2360 4.7782 2.2360 -2.2360 4.7782 2.2360 2.2360 -4.7782" Properties=species:S:1:pos:R:3 comment="PBE LaSi4, relaxed" dos_ef_per_ev_cell=3.21 pbc="T T T"
La 0.0000 0.0000 0.0000
Si 2.2360 0.0000 2.3891
Si 0.0000 0.0000 3.4341
Si 0.0000 0.0000 6.1224
Si 0.0000 2.2360 2.3891

***

Result of the stability comparison: A is the least stable of them.

***

A:
16
Lattice="8.9412 0.0000 0.0000 -4.4706 7.7433 0.0000 0.0000 0.0000 6.8779" Properties=species:S:1:pos:R:3 comment="PBE La5Si3, relaxed" dos_ef_per_ev_cell=19.33 pbc="T T T"
La -1.1180 1.9364 1.7195
La -3.3526 5.8069 5.1584
La 2.2360 0.0000 1.7195
La 1.1180 1.9364 5.1584
La 0.0000 5.1622 0.0000
La 0.0000 5.1622 3.4389
La 4.4706 2.5811 0.0000
La 4.4706 2.5811 3.4389
La 6.7052 0.0000 5.1584
La 3.3526 5.8069 1.7195
Si -1.7549 3.0397 5.1584
Si -2.7157 4.7036 1.7195
Si 3.5099 0.0000 5.1584
Si 1.7549 3.0397 1.7195
Si 5.4313 0.0000 1.7195
Si 2.7157 4.7036 5.1584

***

B:
16
Lattice="-4.0039 4.0039 6.9367 4.0039 -4.0039 6.9367 4.0039 4.0039 -6.9367" Properties=species:S:1:pos:R:3 comment="PBE La5Si3, relaxed" dos_ef_per_ev_cell=15.32 pbc="T T T"
La 0.0000 0.0000 0.0000
La 5.4372 1.4333 -2.0447
La 1.4333 2.5705 -2.0447
La 5.4372 1.4333 2.0447
La 1.4333 2.5705 2.0447
La 0.0000 0.0000 6.9367
La 2.5705 1.4333 4.8920
La -1.4333 2.5705 4.8920
La 2.5705 1.4333 8.9814
La -1.4333 2.5705 8.9814
Si 3.0993 0.9045 0.0000
Si 0.0000 0.0000 3.4684
Si 3.0993 -0.9045 6.9367
Si 0.9045 4.9084 0.0000
Si 0.0000 0.0000 10.4051
Si 0.9045 3.0993 6.9367

***

Result of the stability comparison: A is the least stable of them.

***

A:
36
Lattice="8.0353 0.0000 0.0000 0.0000 8.0353 0.0000 0.0000 0.0000 15.5468" Properties=species:S:1:pos:R:3 comment="PBE La5Si4, relaxed" dos_ef_per_ev_cell=37.46 pbc="T T T"
La 0.0894 3.0524 0.8192
La 0.1673 7.0273 1.9242
La 0.9653 4.1071 4.7059
La 1.0080 7.8681 5.8493
La 1.5499 6.4855 11.6601
La 2.4678 2.4678 7.7734
La 3.0097 3.8504 13.5843
La 3.0524 0.0894 14.7276
La 3.8504 3.0097 1.9626
La 3.9283 7.0700 3.0675
La 4.1071 0.9653 10.8409
La 4.1849 5.0257 9.7360
La 4.9829 7.9459 6.9542
La 5.0257 4.1849 5.8109
La 5.5675 5.5675 0.0000
La 6.4855 1.5499 3.8867
La 7.0273 0.1673 13.6227
La 7.0700 3.9283 12.4794
La 7.8681 1.0080 9.6976
La 7.9459 4.9829 8.5927
Si 0.6427 5.7119 14.6256
Si 1.3711 1.5671 12.3706
Si 1.5671 1.3711 3.1762
Si 1.6943 3.3750 10.7389
Si 2.3234 7.3927 8.6947
Si 2.4505 5.3888 0.7105
Si 2.6466 5.5848 7.0629
Si 3.3750 1.6943 4.8079
Si 4.6603 6.3411 12.5814
Si 5.3888 2.4505 14.8363
Si 5.5848 2.6466 8.4839
Si 5.7119 0.6427 0.9212
Si 6.3411 4.6603 2.9655
Si 6.4682 6.6642 10.9496
Si 6.6642 6.4682 4.5972
Si 7.3927 2.3234 6.8522

***

B:
9
Lattice="5.6384 -2.2784 0.0000 5.6384 2.2784 0.0000 -3.8953 0.0000 9.3913" Properties=species:S:1:pos:R:3 comment="PBE La5Si4, relaxed" dos_ef_per_ev_cell=8.16 pbc="T T T"
La 0.0000 0.0000 0.0000
La -0.3352 0.0000 3.6998
La -0.4662 0.0000 7.8208
La 7.8477 0.0000 1.5706
La 7.7168 0.0000 5.6916
Si 2.9236 0.0000 3.6782
Si 4.4013 0.0000 1.6759
Si 2.9802 0.0000 7.7155
Si 4.4580 0.0000 5.7131

***

Result of the stability comparison: B is the least stable of them.

***

A:
5
Lattice="-2.2907 3.3118 4.5762 2.2907 -3.3118 4.5762 2.2907 3.3118 -4.5762" Properties=species:S:1:pos:R:3 comment="PBE La3Si2, relaxed" dos_ef_per_ev_cell=5.06 pbc="T T T"
La 0.0000 0.0000 0.0000
La 2.2907 0.0000 2.7103
La 0.0000 3.3118 1.8659
Si 2.2907 2.0766 0.0000
Si 0.0000 1.2352 4.5762

***

B:
10
Lattice="7.9223 0.0000 0.0000 0.0000 7.9223 0.0000 0.0000 0.0000 4.4355" Properties=species:S:1:pos:R:3 comment="PBE La3Si2, relaxed" dos_ef_per_ev_cell=10.69 pbc="T T T"
La 0.0000 0.0000 0.0000
La 1.3947 2.5665 2.2178
La 2.5665 6.5277 2.2178
La 3.9612 3.9612 0.0000
La 5.3558 1.3947 2.2178
La 6.5277 5.3558 2.2178
Si 0.8654 4.8265 0.0000
Si 3.0958 0.8654 0.0000
Si 4.8265 7.0569 0.0000
Si 7.0569 3.0958 0.0000

***

Result of the stability comparison: A is the least stable of them.